A plane-wave DFT calculation with PBE was carried out for a relaxed LiCaInBr6 crystal.

abc: 7.0816 7.0816 12.6536
angles: 90.00 90.00 120.00
With the nearest neighbours (Å) after each atom.
Fractional positions:
1 Br 0.3506 0.0198 0.1254  1 In 2.73, 1 Li 2.89, 1 Ca 2.91
2 Ca 0.6667 0.3333 0.7500  6 Br 2.91
3 Br 0.3308 0.3506 0.8746  1 In 2.73, 1 Li 2.89, 1 Ca 2.91
4 Br 0.6692 0.0198 0.3746  1 In 2.73, 1 Li 2.89, 1 Ca 2.91
5 Br 0.9802 0.3308 0.1254  1 In 2.73, 1 Li 2.89, 1 Ca 2.91
6 Br 0.3308 0.9802 0.6254  1 In 2.73, 1 Li 2.89, 1 Ca 2.91
7 Br 0.6692 0.6494 0.1254  1 In 2.73, 1 Li 2.89, 1 Ca 2.91
8 In 0.6667 0.3333 0.2500  6 Br 2.73
9 In 0.3333 0.6667 0.7500  6 Br 2.73
10 Br 0.3506 0.3308 0.3746  1 In 2.73, 1 Li 2.89, 1 Ca 2.91
11 Br 0.6494 0.6692 0.6254  1 In 2.73, 1 Li 2.89, 1 Ca 2.91
12 Br 0.9802 0.6494 0.3746  1 In 2.73, 1 Li 2.89, 1 Ca 2.91
13 Li 0.0000 0.0000 0.5000  6 Br 2.89
14 Br 0.0198 0.3506 0.6254  1 In 2.73, 1 Li 2.89, 1 Ca 2.91
15 Ca 0.3333 0.6667 0.2500  6 Br 2.91
16 Li 0.0000 0.0000 0.0000  6 Br 2.89
17 Br 0.6494 0.9802 0.8746  1 In 2.73, 1 Li 2.89, 1 Ca 2.91
18 Br 0.0198 0.6692 0.8746  1 In 2.73, 1 Li 2.89, 1 Ca 2.91

## Properties
Spin magnetization = 0.00 μB/f.u.
Formation energy from raw total energies = -1.34 eV/atom
Final energy = -3.1927 eV per atom



A plane-wave DFT calculation with PBE was carried out for a relaxed CaMnInBr2 crystal.

abc: 5.1375 5.5932 5.1375
angles: 90.00 90.00 90.00
With the nearest neighbours (Å) after each atom.
Fractional positions:
1 In 0.0000 0.5000 0.0000  2 Mn 2.80
2 Br 0.5000 0.0000 0.0000  2 Mn 2.57
3 Br 0.0000 0.0000 0.5000  2 Mn 2.57
4 Ca 0.5000 0.5000 0.5000  4 In 3.63, 8 Br 3.80
5 Mn 0.0000 0.0000 0.0000  4 Br 2.57, 2 In 2.80

## Properties
Spin magnetization = 3.42 μB/f.u.
Formation energy from raw total energies = -0.31 eV/atom
Final energy = -3.7599 eV per atom



A plane-wave DFT calculation with PBE was carried out for a relaxed CaMnIn2Br6 crystal.

abc: 7.8161 7.8196 7.6925
angles: 59.38 59.43 59.93
With the nearest neighbours (Å) after each atom.
Fractional positions:
1 Br 0.6321 0.0851 0.8024  1 Mn 2.70, 1 Ca 2.91
2 Mn 0.3162 0.3162 0.0514  6 Br 2.70
3 Br 0.5463 0.1525 0.3012  1 Mn 2.70, 1 Ca 2.91
4 Br 0.4803 0.6322 0.8003  1 Mn 2.70, 1 Ca 2.91
5 In 0.0953 0.0959 0.7125  6 Br 3.36-3.38
6 In 0.5370 0.5363 0.3906  6 Br 3.36-3.38
7 Br 0.1518 0.0004 0.3028  1 Mn 2.70, 1 Ca 2.91
8 Br 0.0004 0.5473 0.3006  1 Mn 2.70, 1 Ca 2.91
9 Ca 0.8162 0.8161 0.5515  6 Br 2.91
10 Br 0.0860 0.4796 0.8018  1 Mn 2.70, 1 Ca 2.91

## Properties
Spin magnetization = 4.96 μB/f.u.
Formation energy from raw total energies = -1.08 eV/atom
Final energy = -3.7462 eV per atom